# 1
Compound: PIrSCl2
Source: Alexandria via LeMat-Bulk
Functional: SCAN
Structure: single point on PBEsol structure

Results
As for the volume: 19.912 Å³/atom. The uncorrected formation energy is 579 meV per atom. The space group is No. 123. For the energy, the calculation gives -104.19 eV for the cell shown.

a = 4.5748 Å, b = 4.6651 Å, c = 4.6651 Å
α = 90.00°, β = 90.00°, γ = 90.00°
With the nearest neighbours (Å) after each atom.
Sites, in units of the cell vectors:
P 0.5000 0.0000 0.0000  2 Ir 2.29
Cl 0.0000 0.5000 0.0000  2 Ir 2.33
Cl 0.0000 0.0000 0.5000  2 Ir 2.33
S 0.5000 0.5000 0.5000  8 Cl 3.27, 4 P 3.30
Ir 0.0000 0.0000 0.0000  2 P 2.29, 4 Cl 2.33

=====

# 2
Compound: Sr2CuRh
Source: Alexandria via LeMat-Bulk
Functional: SCAN
Structure: single point on PBEsol structure

Results
As for the volume: 25.688 Å³/atom. The formation energy is -0.21 eV/atom. The space group is No. 38. For the energy, the calculation gives -94.35 eV for the cell shown.

a = 4.3776 Å, b = 4.3199 Å, c = 5.8577 Å
α = 90.00°, β = 111.94°, γ = 90.00°
With the nearest neighbours (Å) after each atom.
Sites, in units of the cell vectors:
Sr 0.3943 0.5000 0.7887  3 Rh 3.05-3.31, 4 Cu 3.22
Sr 0.1113 0.0000 0.2225  3 Cu 3.04-3.32, 4 Rh 3.22
Cu 0.8058 0.0000 0.6116  2 Rh 2.45
Rh 0.6987 0.5000 0.3974  2 Cu 2.45

=====

# 3
Compound: CuRuW
Source: Alexandria via LeMat-Bulk
Functional: SCAN
Structure: single point on PBEsol structure

Results
As for the volume: 15.102 Å³/atom. The formation energy is 0.99 eV/atom. The space group is No. 216. The calculation puts the offset from the most stable computed form at 821 meV per atom. For the energy, the calculation gives -116.74 eV for the cell shown.

a = 4.0015 Å, b = 4.0015 Å, c = 4.0015 Å
α = 60.00°, β = 60.00°, γ = 60.00°
With the nearest neighbours (Å) after each atom.
Sites, in units of the cell vectors:
Ru 0.0000 0.0000 0.0000  4 Cu 2.45
W 0.5000 0.5000 0.5000  4 Cu 2.45
Cu 0.2500 0.2500 0.2500  4 W 2.45, 4 Ru 2.45

=====

# 4
Compound: SrLiSi2Hg
Source: Alexandria via LeMat-Bulk
Functional: SCAN
Structure: single point on PBEsol structure

Results
As for the volume: 25.161 Å³/atom. The uncorrected formation energy is 195 meV per atom. The space group is No. 123. For the energy, the calculation gives -111.89 eV for the cell shown.

a = 4.7844 Å, b = 5.1279 Å, c = 5.1279 Å
α = 90.00°, β = 90.00°, γ = 90.00°
With the nearest neighbours (Å) after each atom.
Sites, in units of the cell vectors:
Si 0.0000 0.0000 0.5000  2 Hg 2.56
Si 0.0000 0.5000 0.0000  2 Hg 2.56
Hg 0.0000 0.0000 0.0000  2 Li 2.39, 4 Si 2.56
Sr 0.5000 0.5000 0.5000  8 Si 3.51, 4 Li 3.63
Li 0.5000 0.0000 0.0000  2 Hg 2.39